Entry 1:
The following is a PBE-GGA calculation of AlBS after structural relaxation, from Alexandria via LeMat-Bulk.

a b c (Å): 5.429 3.198 5.494
angles (deg): 90.00 116.65 90.00
Fractional coordinates of all 6 atoms:
S  0.568  0.000  0.077
S  0.289  0.000  0.447
B  0.842  0.500  0.771
B  0.683  0.000  0.782
Al  0.912  0.000  0.541
Al  0.249  0.500  0.106

Space group: Pm
Energy relative to the lowest polymorph listed for this composition: 98 meV per atom
Mass density: 2.72 g/cm³

Entry 2:
The following is a PBE-GGA calculation of GaSiHg2P after structural relaxation, from Alexandria via LeMat-Bulk.

a b c (Å): 5.112 4.935 5.112
angles (deg): 90.00 90.00 90.00
Site moments in Bohr magnetons follow the coordinates.
Fractional coordinates of all 5 atoms:
P  0.500  0.500  0.500  0.40
Si  0.000  0.500  0.000  -0.04
Hg  0.000  0.000  0.500  0.01
Hg  0.500  0.000  0.000  0.03
Ga  0.000  0.000  0.000  0.03

Space group: P4/mmm
Mass density: 6.82 g/cm³

Entry 3:
The following is a PBE-GGA calculation of K2BaCe3O8 after structural relaxation, from Alexandria via LeMat-Bulk.

a b c (Å): 7.220 7.220 7.448
angles (deg): 61.00 61.00 60.00
Fractional coordinates of all 14 atoms:
K  0.119  0.119  0.643
K  0.499  0.499  0.503
Ba  0.883  0.883  0.351
Ce  0.499  0.003  0.999
Ce  0.003  0.499  0.999
Ce  0.499  0.499  0.999
O  0.272  0.272  0.185
O  0.731  0.731  0.808
O  0.246  0.246  0.829
O  0.678  0.246  0.829
O  0.246  0.678  0.829
O  0.752  0.313  0.182
O  0.313  0.752  0.182
O  0.752  0.752  0.182

Space group: R3m
Mass density: 4.55 g/cm³

Which volume belongs to each record? In order, 14.209; 25.792; 19.903 Å³ per atom.
Which energy relative to the elements, uncorrected belongs to each record? In order, -280.1; 885.3; -2871.4 meV/atom.